MnRhNO2: relaxed, GGA+U.

```
MnRhNO2
1.0
4.083 0.000 0.000
0.000 4.083 0.000
0.000 0.000 3.641
Mn Rh N O
1 1 1 2
Direct
0.000 0.000 0.000
0.500 0.500 0.500
0.500 0.500 0.000
0.000 0.500 0.500
0.500 0.000 0.500
```

Total DFT energy (no corrections)   -6.597 eV per atom
Calculated volume   12.14 A^3/atom
ρ   5.6 g/cm3